DFT (PBE-GGA) results for an optimized crystal structure of Cd2ReSiPt.

The structure in POSCAR format:
```
Cd2ReSiPt
1.0
5.193 0.000 0.000
0.000 5.193 0.000
0.000 0.000 4.512
Cd Re Si Pt
2 1 1 1
Cartesian
0.000 2.597 0.000 Cd
2.597 0.000 0.000 Cd
0.000 0.000 0.000 Re
0.000 0.000 2.256 Si
2.597 2.597 2.256 Pt
```

Calculated values
Formation energy without anion corrections   1.157 eV per atom
Final energy   -3.99 eV/atom
Excess energy over the best structure of this formula in the dataset   64 meV/atom
Theoretical density   8.65 Mg/m³
Crystal system   tetragonal